An optimized crystal structure of Rb2MnTlO4, computed with PBE+U.

Lattice parameters (Å, degrees): 6.7219 6.7219 7.5539 90.00 90.00 90.00
Last column: nearest neighbours and their distance in Å.
Space group I-4 (No. 82)
Unique sites:
1 Rb 0.0000 0.0000 0.0000  8 O 3.13-3.48
2 Rb 0.0000 0.5000 0.2500  4 O 2.80
3 Mn 0.0000 0.0000 0.5000  4 O 1.73
4 Tl 0.0000 0.5000 0.7500  4 O 2.63
5 O 0.1387 0.1600 0.6306  1 Mn 1.73

## Properties
Final energy, eV/atom: -5.1548